# Sr2LiCa

A relaxed structure of Sr2LiCa (PBE-GGA, Alexandria via LeMat-Bulk).

Computed properties:
Density of states at the Fermi level ... 3.907 states/eV/f.u.
Energy of formation from the pure elements ... 0.08 eV/atom
Total energy ... -1.741 eV/atom

Unit cell a=6.298 b=6.298 c=6.298 alpha=60.00 beta=60.00 gamma=60.00
Sites, in units of the cell vectors:
Sr 0.250 0.250 0.250
Sr 0.750 0.750 0.750
Ca 0.500 0.500 0.500
Li 0.000 0.000 0.000